# PrSbRh2 PBE optimized geometry
data_PrSbRh2
_chemical_formula_sum 'Pr3 Sb3 Rh6'
_space_group_name_H-M_alt 'P 1'
_space_group_IT_number 1
_cell_length_a 4.513
_cell_length_b 4.513
_cell_length_c 14.553
_cell_angle_alpha 90.00
_cell_angle_beta 90.00
_cell_angle_gamma 120.00
loop_
_space_group_symop_operation_xyz
'x,y,z'
loop_
_atom_site_label
_atom_site_type_symbol
_atom_site_fract_x
_atom_site_fract_y
_atom_site_fract_z
_atom_site_occupancy
Pr1 Pr 0.000 0.000 0.000 1
Pr2 Pr 0.333 0.667 0.667 1
Pr3 Pr 0.667 0.333 0.333 1
Sb1 Sb 0.000 0.000 0.500 1
Sb2 Sb 0.333 0.667 0.167 1
Sb3 Sb 0.667 0.333 0.833 1
Rh1 Rh 0.000 0.000 0.210 1
Rh2 Rh 0.000 0.000 0.790 1
Rh3 Rh 0.333 0.667 0.457 1
Rh4 Rh 0.333 0.667 0.876 1
Rh5 Rh 0.667 0.333 0.124 1
Rh6 Rh 0.667 0.333 0.543 1
# Formation energy from raw total energies = -0.69 eV per atom
# Volume = 21.4 Å³/atom
# SG = No. 166

---

# PrSbRh2 PBE optimized geometry
data_PrSbRh2
_chemical_formula_sum 'Pr4 Sb4 Rh8'
_space_group_name_H-M_alt 'P 1'
_space_group_IT_number 1
_cell_length_a 7.753
_cell_length_b 7.080
_cell_length_c 6.101
_cell_angle_alpha 90.00
_cell_angle_beta 90.00
_cell_angle_gamma 90.00
loop_
_space_group_symop_operation_xyz
'x,y,z'
loop_
_atom_site_label
_atom_site_type_symbol
_atom_site_fract_x
_atom_site_fract_y
_atom_site_fract_z
_atom_site_occupancy
Pr1 Pr 0.030 0.250 0.162 1
Pr2 Pr 0.470 0.750 0.662 1
Pr3 Pr 0.530 0.250 0.338 1
Pr4 Pr 0.970 0.750 0.838 1
Sb1 Sb 0.119 0.750 0.336 1
Sb2 Sb 0.381 0.250 0.836 1
Sb3 Sb 0.619 0.750 0.164 1
Sb4 Sb 0.881 0.250 0.664 1
Rh1 Rh 0.174 0.049 0.583 1
Rh2 Rh 0.174 0.451 0.583 1
Rh3 Rh 0.326 0.549 0.083 1
Rh4 Rh 0.326 0.951 0.083 1
Rh5 Rh 0.674 0.049 0.917 1
Rh6 Rh 0.674 0.451 0.917 1
Rh7 Rh 0.826 0.549 0.417 1
Rh8 Rh 0.826 0.951 0.417 1
# Formation energy from raw total energies = -0.75 eV per atom
# Volume = 20.9 Å³/atom
# SG = No. 62

---

# Pr2ScSb3Rh4 PBE optimized geometry
data_Pr2ScSb3Rh4
_chemical_formula_sum 'Pr2 Sc1 Sb3 Rh4'
_space_group_name_H-M_alt 'P 1'
_space_group_IT_number 1
_cell_length_a 4.375
_cell_length_b 4.375
_cell_length_c 11.260
_cell_angle_alpha 90.00
_cell_angle_beta 90.00
_cell_angle_gamma 90.00
loop_
_space_group_symop_operation_xyz
'x,y,z'
loop_
_atom_site_label
_atom_site_type_symbol
_atom_site_fract_x
_atom_site_fract_y
_atom_site_fract_z
_atom_site_occupancy
Pr1 Pr 0.000 0.500 0.238 1
Pr2 Pr 0.500 0.000 0.762 1
Sc1 Sc 0.000 0.000 0.500 1
Sb1 Sb 0.000 0.500 0.867 1
Sb2 Sb 0.500 0.000 0.133 1
Sb3 Sb 0.500 0.500 0.500 1
Rh1 Rh 0.000 0.000 0.000 1
Rh2 Rh 0.000 0.500 0.638 1
Rh3 Rh 0.500 0.000 0.362 1
Rh4 Rh 0.500 0.500 0.000 1
# Formation energy from raw total energies = -0.89 eV per atom
# Volume = 21.6 Å³/atom
# SG = No. 115

---

# PrSbRhSe PBE optimized geometry
data_PrSbRhSe
_chemical_formula_sum 'Pr2 Sb2 Rh2 Se2'
_space_group_name_H-M_alt 'P 1'
_space_group_IT_number 1
_cell_length_a 4.758
_cell_length_b 4.758
_cell_length_c 8.738
_cell_angle_alpha 90.00
_cell_angle_beta 90.00
_cell_angle_gamma 90.00
loop_
_space_group_symop_operation_xyz
'x,y,z'
loop_
_atom_site_label
_atom_site_type_symbol
_atom_site_fract_x
_atom_site_fract_y
_atom_site_fract_z
_atom_site_occupancy
Pr1 Pr 0.250 0.250 0.194 1
Pr2 Pr 0.750 0.750 0.806 1
Sb1 Sb 0.250 0.250 0.637 1
Sb2 Sb 0.750 0.750 0.363 1
Rh1 Rh 0.250 0.750 0.500 1
Rh2 Rh 0.750 0.250 0.500 1
Se1 Se 0.250 0.750 0.000 1
Se2 Se 0.750 0.250 0.000 1
# Formation energy from raw total energies = -1.00 eV per atom
# Volume = 24.7 Å³/atom
# SG = No. 129

---

Number 1: total moment 0.00 μB per formula unit, calculated total energy -6.596 eV per atom. Number 2: total moment 0.00 μB per formula unit, calculated total energy -6.656 eV per atom. Number 3: total moment 0.00 μB per formula unit, calculated total energy -6.655 eV per atom. Number 4: total moment 0.00 μB per formula unit, calculated total energy -5.937 eV per atom.